A geometry-optimized MoBrCl3 structure, computed with GGA-PBE.

Unit cell a=5.2768 b=5.2768 c=5.2768 alpha=90.00 beta=90.00 gamma=90.00
Closest atoms and distances in Å follow each position.
Sites, in units of the cell vectors:
Cl: 0.0000 0.5000 0.0000  2 Br 2.64
Cl: 0.5000 0.0000 0.0000  2 Br 2.64
Cl: 0.0000 0.0000 0.5000  2 Br 2.64
Br: 0.0000 0.0000 0.0000  6 Cl 2.64
Mo: 0.5000 0.5000 0.5000  12 Cl 3.73

## Properties
Its energy above the most stable polymorph in this dataset is 1.6334 eV/atom. The value obtained for the formation energy without anion corrections is 0.916 eV/atom. The space group is Pm-3m (221). For the density of states at the Fermi level, the calculation gives 6.38 states/eV/f.u.

***

A geometry-optimized MoBrCl2 structure, computed with GGA-PBE.

Unit cell a=3.0966 b=3.0978 c=8.4881 alpha=90.00 beta=90.00 gamma=90.00
Closest atoms and distances in Å follow each position.
Sites, in units of the cell vectors:
Cl: 0.0000 0.0000 0.9930  4 Cl 3.10, 4 Br 3.41
Cl: 0.5000 0.5000 0.3231  4 Mo 2.65
Br: 0.5000 0.5000 0.6856  4 Mo 2.71
Mo: 0.0000 0.0000 0.4983  4 Cl 2.65, 4 Br 2.71

## Properties
Its energy above the most stable polymorph in this dataset is 0.7272 eV/atom. The value obtained for the formation energy without anion corrections is 0.116 eV/atom. The space group is P4mm (99). For the density of states at the Fermi level, the calculation gives 3.88 states/eV/f.u.

***

A geometry-optimized MoBr2Cl structure, computed with GGA-PBE.

Unit cell a=3.1130 b=3.1130 c=9.5384 alpha=90.00 beta=90.00 gamma=90.00
Closest atoms and distances in Å follow each position.
Sites, in units of the cell vectors:
Mo: 0.5000 0.5000 0.7495  4 Cl 2.66, 4 Br 2.70
Br: 0.0000 0.0000 0.9137  4 Mo 2.70
Br: 0.5000 0.5000 0.2441  4 Br 3.11
Cl: 0.0000 0.0000 0.5928  4 Mo 2.66

## Properties
Its energy above the most stable polymorph in this dataset is 0.6150 eV/atom. The value obtained for the formation energy without anion corrections is 0.109 eV/atom. The space group is P4mm (99). For the density of states at the Fermi level, the calculation gives 3.65 states/eV/f.u.

***

A geometry-optimized MoBr2Cl2 structure, computed with GGA-PBE.

Unit cell a=6.9370 b=7.4816 c=7.4816 alpha=69.86 beta=62.38 gamma=62.38
Closest atoms and distances in Å follow each position.
Sites, in units of the cell vectors:
Cl: 0.2648 0.2690 0.7310  1 Mo 2.31
Cl: 0.7352 0.7310 0.2690  1 Mo 2.31
Cl: 0.2648 0.7310 0.2690  1 Mo 2.31
Cl: 0.7352 0.2690 0.7310  1 Mo 2.31
Br: 0.7038 0.7962 0.7962  2 Mo 2.52
Br: 0.1723 0.8277 0.8277  2 Mo 2.66
Br: 0.2962 0.2038 0.2038  2 Mo 2.52
Br: 0.8277 0.1723 0.1723  2 Mo 2.66
Mo: 0.7094 0.0000 0.0000  2 Cl 2.31, 2 Br 2.52
Mo: 0.2906 0.0000 0.0000  2 Cl 2.31, 2 Br 2.52

## Properties
The value obtained for the formation energy without anion corrections is -0.679 eV/atom. The space group is Immm (71). For the density of states at the Fermi level, the calculation gives 2.61 states/eV/f.u.

***

A geometry-optimized Mo2BrCl structure, computed with GGA-PBE.

Unit cell a=4.4743 b=4.4743 c=3.1676 alpha=90.00 beta=90.00 gamma=90.04
Closest atoms and distances in Å follow each position.
Sites, in units of the cell vectors:
Br: 0.5000 0.0000 0.5000  8 Mo 2.74
Mo: 0.0000 0.0000 0.0000  4 Br 2.74, 4 Cl 2.74
Mo: 0.5000 0.5000 0.0000  4 Cl 2.74, 4 Br 2.74
Cl: 0.0000 0.5000 0.5000  8 Mo 2.74

## Properties
Its energy above the most stable polymorph in this dataset is 1.1666 eV/atom. The value obtained for the formation energy without anion corrections is 1.029 eV/atom. The space group is P4/mmm (123). For the density of states at the Fermi level, the calculation gives 5.17 states/eV/f.u.

***

A geometry-optimized MoBrCl2 structure, computed with GGA-PBE.

Unit cell a=11.0788 b=11.0788 c=11.0788 alpha=16.39 beta=16.39 gamma=16.39
Closest atoms and distances in Å follow each position.
Sites, in units of the cell vectors:
Cl: 0.8850 0.8850 0.8850  3 Mo 2.49
Cl: 0.1150 0.1150 0.1150  3 Mo 2.49
Mo: 0.5000 0.5000 0.5000  6 Cl 2.49
Br: 0.0000 0.0000 0.0000  6 Br 3.16

## Properties
Its energy above the most stable polymorph in this dataset is 0.3406 eV/atom. The value obtained for the formation energy without anion corrections is -0.271 eV/atom. The space group is R-3m (166). For the density of states at the Fermi level, the calculation gives 2.37 states/eV/f.u.

***

A geometry-optimized MoBrCl2 structure, computed with GGA-PBE.

Unit cell a=3.0462 b=3.0462 c=9.6201 alpha=90.00 beta=90.00 gamma=90.00
Closest atoms and distances in Å follow each position.
Sites, in units of the cell vectors:
Cl: 0.0000 0.0000 0.0968  4 Mo 2.61
Cl: 0.0000 0.0000 0.4032  4 Mo 2.61
Mo: 0.5000 0.5000 0.2500  8 Cl 2.61
Br: 0.5000 0.5000 0.7500  4 Br 3.05

## Properties
Its energy above the most stable polymorph in this dataset is 0.6132 eV/atom. The value obtained for the formation energy without anion corrections is 0.002 eV/atom. The space group is P4/mmm (123). For the density of states at the Fermi level, the calculation gives 3.26 states/eV/f.u.

***

A geometry-optimized MoBr2NCl structure, computed with GGA-PBE.

Unit cell a=5.9361 b=3.3746 c=5.9361 alpha=90.00 beta=90.00 gamma=90.00
Closest atoms and distances in Å follow each position.
Sites, in units of the cell vectors:
Cl: 0.0000 0.0000 0.0000  2 N 1.69
Br: 0.5000 0.0000 0.0000  2 Cl 2.97
Br: 0.0000 0.0000 0.5000  2 Cl 2.97
N: 0.0000 0.5000 0.0000  2 Cl 1.69
Mo: 0.5000 0.5000 0.5000  2 Mo 3.37, 8 Br 3.41

## Properties
The value obtained for the formation energy without anion corrections is 1.595 eV/atom. The space group is P4/mmm (123). For the density of states at the Fermi level, the calculation gives 3.84 states/eV/f.u.

***

A geometry-optimized MoP2BrCl structure, computed with GGA-PBE.

Unit cell a=4.9064 b=4.9064 c=4.8561 alpha=90.00 beta=90.00 gamma=90.00
Closest atoms and distances in Å follow each position.
Sites, in units of the cell vectors:
Mo: 0.5000 0.5000 0.5000  8 P 3.45, 4 Cl 3.47
P: 0.0000 0.5000 0.0000  2 Br 2.45
P: 0.5000 0.0000 0.0000  2 Br 2.45
Cl: 0.0000 0.0000 0.5000  2 Br 2.43
Br: 0.0000 0.0000 0.0000  2 Cl 2.43, 4 P 2.45

## Properties
Its energy above the most stable polymorph in this dataset is 1.4068 eV/atom. The value obtained for the formation energy without anion corrections is 1.618 eV/atom. The space group is P4/mmm (123). For the density of states at the Fermi level, the calculation gives 3.22 states/eV/f.u.

***

A geometry-optimized MoP2BrCl structure, computed with GGA-PBE.

Unit cell a=4.7335 b=4.7335 c=4.8282 alpha=90.00 beta=90.00 gamma=90.00
Closest atoms and distances in Å follow each position.
Sites, in units of the cell vectors:
P: 0.0000 0.5000 0.0000  2 Mo 2.37
P: 0.5000 0.0000 0.0000  2 Mo 2.37
Mo: 0.0000 0.0000 0.0000  4 P 2.37, 2 Cl 2.41
Cl: 0.0000 0.0000 0.5000  2 Mo 2.41
Br: 0.5000 0.5000 0.5000  4 Cl 3.35, 8 P 3.38

## Properties
Its energy above the most stable polymorph in this dataset is 0.0000 eV/atom. The value obtained for the formation energy without anion corrections is 0.211 eV/atom. The space group is P4/mmm (123). For the density of states at the Fermi level, the calculation gives 2.64 states/eV/f.u.

***

A geometry-optimized Rb2MoBr5Cl structure, computed with GGA-PBE.

Unit cell a=7.5495 b=7.5495 c=7.5495 alpha=90.85 beta=119.51 gamma=119.51
Closest atoms and distances in Å follow each position.
Sites, in units of the cell vectors:
Cl: 0.0000 0.7719 0.7719  1 Mo 2.39
Br: 0.5227 0.7599 0.7599  1 Mo 2.57
Br: 0.0000 0.7599 0.2373  1 Mo 2.57
Br: 0.4773 0.2373 0.2373  1 Mo 2.57
Br: 0.0000 0.2389 0.2389  1 Mo 2.56
Br: 0.0000 0.2373 0.7599  1 Mo 2.57
Rb: 0.5000 0.7486 0.2486  10 Br 3.78-3.80, 2 Cl 3.81
Rb: 0.5000 0.2486 0.7486  10 Br 3.78-3.80, 2 Cl 3.81
Mo: 0.0000 0.9976 0.9976  1 Cl 2.39, 5 Br 2.56-2.57

## Properties
The value obtained for the formation energy without anion corrections is -1.157 eV/atom. The space group is I4mm (107). For the density of states at the Fermi level, the calculation gives 7.89 states/eV/f.u.

***

A geometry-optimized ReMoBr2Cl structure, computed with GGA-PBE.

Unit cell a=6.2047 b=4.2901 c=6.2047 alpha=90.00 beta=90.00 gamma=90.00
Closest atoms and distances in Å follow each position.
Sites, in units of the cell vectors:
Cl: 0.0000 0.0000 0.0000  2 Re 2.15
Br: 0.5000 0.0000 0.0000  2 Cl 3.10
Br: 0.0000 0.0000 0.5000  2 Cl 3.10
Mo: 0.5000 0.5000 0.5000  8 Br 3.77
Re: 0.0000 0.5000 0.0000  2 Cl 2.15

## Properties
The value obtained for the formation energy without anion corrections is 1.778 eV/atom. The space group is P4/mmm (123). For the density of states at the Fermi level, the calculation gives 5.00 states/eV/f.u.

***

formation energy without anion corrections of number 9 (MoP2BrCl)?
1.618 eV/atom